No. 1
# Tb2Al4RuPt3 PBE optimized geometry
# Crystal system ... tetragonal
# Fermi-level density of states ... 4.3 states/eV/cell
# Calculated formation energy ... -1.026 eV/atom
data_Tb2Al4RuPt3
_chemical_formula_sum 'Tb2 Al4 Ru1 Pt3'
_cell_length_a 4.2823
_cell_length_b 4.2823
_cell_length_c 10.0792
_cell_angle_alpha 90.00
_cell_angle_beta 90.00
_cell_angle_gamma 90.00
_space_group_name_H-M_alt 'P -4 m 2'
_space_group_IT_number 115
loop_
_space_group_symop_operation_xyz
'x,y,z'
'y,-x,-z'
'-x,-y,z'
'-y,x,-z'
'-x,y,z'
'-y,-x,-z'
'x,-y,z'
'y,x,-z'
loop_
_atom_site_label
_atom_site_type_symbol
_atom_site_fract_x
_atom_site_fract_y
_atom_site_fract_z
Tb1 Tb 0.0000 0.5000 0.2362
Al1 Al 0.0000 0.0000 0.5000
Al2 Al 0.0000 0.5000 0.8770
Al3 Al 0.5000 0.5000 0.5000
Ru1 Ru 0.5000 0.5000 0.0000
Pt1 Pt 0.0000 0.0000 0.0000
Pt2 Pt 0.0000 0.5000 0.6333



No. 2
# LiZn2F2 PBE optimized geometry
# Distance to the lowest polymorph of the same formula ... 0 meV/atom
# Crystal system ... tetragonal
# Raw formation energy ... -1.215 eV/atom
# Fermi-level density of states ... 5.3 states/eV/cell
data_LiZn2F2
_chemical_formula_sum 'Li2 Zn4 F4'
_cell_length_a 3.7856
_cell_length_b 3.7856
_cell_length_c 9.8156
_cell_angle_alpha 90.00
_cell_angle_beta 90.00
_cell_angle_gamma 90.00
_space_group_name_H-M_alt 'I 4/m m m'
_space_group_IT_number 139
_space_group_name_Hall '-I 4 2'
loop_
_atom_site_label
_atom_site_type_symbol
_atom_site_fract_x
_atom_site_fract_y
_atom_site_fract_z
Li1 Li 0.0000 0.0000 0.0000
Zn1 Zn 0.0000 0.0000 0.3748
F1 F 0.0000 0.5000 0.2500



| no. | electronic total energy (eV per atom) |
| --- | --- |
| 1 | -6.189 |
| 2 | -2.856 |